(1)
# TbY2Ho4 | the Alexandria database | GGA-PBE | relaxed
# ΔH_f (0 K) = 135 meV/atom
# Magnetization = 0.00 μB/f.u.
# E = -4.989 eV/atom
data_TbY2Ho4
_symmetry_space_group_name_H-M 'P 1 21/m 1'
_symmetry_Int_Tables_number 11
_cell_length_a 6.1832
_cell_length_b 6.4933
_cell_length_c 11.4475
_cell_angle_alpha 90.00
_cell_angle_beta 104.88
_cell_angle_gamma 90.00
loop_
_symmetry_equiv_pos_as_xyz
'x,y,z'
'-x,-y,-z'
'-x,y+1/2,-z'
'x,-y+1/2,z'
loop_
_atom_site_label
_atom_site_fract_x
_atom_site_fract_y
_atom_site_fract_z
Tb1 0.0241 0.2500 0.3511
Y1 0.1401 0.2500 0.9395
Y2 0.3895 0.7500 0.5026
Ho1 0.1621 0.2500 0.6534
Ho2 0.2973 0.7500 0.9331
Ho3 0.3574 0.5033 0.2120

***

(2)
# Tb6Y2Ho5 | the Alexandria database | GGA-PBE | relaxed
# ΔH_f (0 K) = 97 meV/atom
# Magnetization = 0.00 μB/f.u.
# E = -4.795 eV/atom
data_Tb6Y2Ho5
_symmetry_space_group_name_H-M 'P b a m'
_symmetry_Int_Tables_number 55
_cell_length_a 11.6353
_cell_length_b 20.1649
_cell_length_c 3.5742
_cell_angle_alpha 90.00
_cell_angle_beta 90.00
_cell_angle_gamma 90.00
loop_
_symmetry_equiv_pos_as_xyz
'x,y,z'
'-x,-y,-z'
'-x,-y,z'
'x,y,-z'
'x+1/2,-y+1/2,-z'
'-x+1/2,y+1/2,z'
'-x+1/2,y+1/2,-z'
'x+1/2,-y+1/2,z'
loop_
_atom_site_label
_atom_site_fract_x
_atom_site_fract_y
_atom_site_fract_z
Tb1 0.0586 0.0802 0.0000
Tb2 0.0822 0.3671 0.0000
Tb3 0.1731 0.6328 0.5000
Y1 0.1652 0.7888 0.0000
Ho1 0.0000 0.5000 0.5000
Ho2 0.0937 0.2252 0.5000
Ho3 0.1989 0.9485 0.5000

***

(3)
# Tb2Y5Ho3 | the Alexandria database | GGA-PBE | relaxed
# ΔH_f (0 K) = 193 meV/atom
# Magnetization = 0.00 μB/f.u.
# E = -5.339 eV/atom
data_Tb2Y5Ho3
_symmetry_space_group_name_H-M 'C 1 2/c 1'
_symmetry_Int_Tables_number 15
_cell_length_a 10.6972
_cell_length_b 15.9321
_cell_length_c 9.3859
_cell_angle_alpha 90.00
_cell_angle_beta 124.67
_cell_angle_gamma 90.00
loop_
_symmetry_equiv_pos_as_xyz
'x,y,z'
'-x,-y,-z'
'-x,y,-z+1/2'
'x,-y,z+1/2'
'x+1/2,y+1/2,z'
'-x+1/2,-y+1/2,-z'
'-x+1/2,y+1/2,-z+1/2'
'x+1/2,-y+1/2,z+1/2'
loop_
_atom_site_label
_atom_site_fract_x
_atom_site_fract_y
_atom_site_fract_z
Tb1 0.1438 0.1214 0.0450
Y1 0.0000 0.2306 0.2500
Y2 0.0000 0.2717 0.7500
Y3 0.0000 0.4710 0.7500
Y4 0.2432 0.3854 0.2374
Ho1 0.0000 0.0279 0.2500
Ho2 0.1532 0.3798 0.5486

***

Please write out number 3 again, unchanged.
# Tb2Y5Ho3 | the Alexandria database | GGA-PBE | relaxed
# ΔH_f (0 K) = 193 meV/atom
# Magnetization = 0.00 μB/f.u.
# E = -5.339 eV/atom
data_Tb2Y5Ho3
_symmetry_space_group_name_H-M 'C 1 2/c 1'
_symmetry_Int_Tables_number 15
_cell_length_a 10.6972
_cell_length_b 15.9321
_cell_length_c 9.3859
_cell_angle_alpha 90.00
_cell_angle_beta 124.67
_cell_angle_gamma 90.00
loop_
_symmetry_equiv_pos_as_xyz
'x,y,z'
'-x,-y,-z'
'-x,y,-z+1/2'
'x,-y,z+1/2'
'x+1/2,y+1/2,z'
'-x+1/2,-y+1/2,-z'
'-x+1/2,y+1/2,-z+1/2'
'x+1/2,-y+1/2,z+1/2'
loop_
_atom_site_label
_atom_site_fract_x
_atom_site_fract_y
_atom_site_fract_z
Tb1 0.1438 0.1214 0.0450
Y1 0.0000 0.2306 0.2500
Y2 0.0000 0.2717 0.7500
Y3 0.0000 0.4710 0.7500
Y4 0.2432 0.3854 0.2374
Ho1 0.0000 0.0279 0.2500
Ho2 0.1532 0.3798 0.5486

***

> magnetization of number 1 (TbY2Ho4)?

0.00 μB/f.u.

***

Copy entry 2 word for word.
# Tb6Y2Ho5 | the Alexandria database | GGA-PBE | relaxed
# ΔH_f (0 K) = 97 meV/atom
# Magnetization = 0.00 μB/f.u.
# E = -4.795 eV/atom
data_Tb6Y2Ho5
_symmetry_space_group_name_H-M 'P b a m'
_symmetry_Int_Tables_number 55
_cell_length_a 11.6353
_cell_length_b 20.1649
_cell_length_c 3.5742
_cell_angle_alpha 90.00
_cell_angle_beta 90.00
_cell_angle_gamma 90.00
loop_
_symmetry_equiv_pos_as_xyz
'x,y,z'
'-x,-y,-z'
'-x,-y,z'
'x,y,-z'
'x+1/2,-y+1/2,-z'
'-x+1/2,y+1/2,z'
'-x+1/2,y+1/2,-z'
'x+1/2,-y+1/2,z'
loop_
_atom_site_label
_atom_site_fract_x
_atom_site_fract_y
_atom_site_fract_z
Tb1 0.0586 0.0802 0.0000
Tb2 0.0822 0.3671 0.0000
Tb3 0.1731 0.6328 0.5000
Y1 0.1652 0.7888 0.0000
Ho1 0.0000 0.5000 0.5000
Ho2 0.0937 0.2252 0.5000
Ho3 0.1989 0.9485 0.5000